(1)
The following is a PBE-GGA calculation of a relaxed K2ScAg crystal, from Alexandria.

Lattice parameters (Å, degrees): 6.289 3.551 5.923 83.50 90.00 90.00
Element x y z (fractional)
Ag (0.500, 0.750, 0.750)
K (0.000, 0.968, 0.984)
K (0.000, 0.532, 0.516)
Sc (0.500, 0.250, 0.250)

Output
**Space-group type**: P2/m
**Calculated formation energy**: 0.5306 eV/atom


(2)
The following is a PBE-GGA calculation of a relaxed K2ScAg crystal, from Alexandria.

Lattice parameters (Å, degrees): 3.764 3.759 10.704 90.00 90.00 90.00
Element x y z (fractional)
Ag (0.500, 0.500, 0.690)
K (0.000, 0.000, 0.922)
K (0.500, 0.500, 0.302)
Sc (0.000, 0.000, 0.586)

Output
**Space-group type**: P4mm
**Calculated formation energy**: 0.1697 eV/atom


Number 1: density of states at the Fermi level 4.09 states/eV/cell. Number 2: density of states at the Fermi level 3.54 states/eV/cell.